(1)
{
  "formula": "LiNdGaPd",
  "functional": "PBE",
  "state": "relaxed",
  "cell": [[4.038, 0.000, 0.000], [0.000, 1.649, 6.007], [0.000, -1.649, 6.007]],
  "species": ["Li", "Nd", "Ga", "Pd"],
  "fractional_positions": [[0.000, 0.000, 0.000], [0.000, 0.249, 0.249], [0.500, 0.571, 0.571], [0.500, 0.883, 0.883]],
  "sg": "No. 38",
  "crystal_system": "orthorhombic",
  "dos_ef_per_ev_cell": 2.62,
  "total_magnetization_mub_per_cell": 0.00,
  "formation_enthalpy_0k_ev_per_atom": -0.4138,
  "de_polymorph_ev_per_atom": 0.117
}

***

(2)
{
  "formula": "BaBe2Br",
  "functional": "PBE",
  "state": "relaxed",
  "cell": [[2.289, 1.322, 5.558], [-2.289, 1.322, 5.558], [0.000, -2.644, 5.558]],
  "species": ["Ba", "Be", "Be", "Br"],
  "fractional_positions": [[0.000, 0.000, 0.000], [0.207, 0.207, 0.207], [0.793, 0.793, 0.793], [0.500, 0.500, 0.500]],
  "sg": "No. 166",
  "crystal_system": "trigonal",
  "dos_ef_per_ev_cell": 3.52,
  "e_form_raw_kj_per_mol_atoms": 57,
  "total_magnetization_mub_per_cell": 0.00,
  "de_polymorph_ev_per_atom": 0.584
}

***

Number 1: density 6.8 g/cm³. Number 2: density 3.9 g/cm³.